A relaxed structure of MgCu, computed with PBEsol.

The space group is Imma (No. 74) and the conventional cell measures 3.076, 4.367 and 8.971 Å, with angles of 90.00, 90.00 and 90.00 degrees. Symmetry generates all atoms from Mg at (0.000, 0.250, 0.108) and Cu at (0.000, 0.250, 0.645).

Its density of states at the Fermi level is 2.52 states/eV/cell. Its formation energy is -0.05 eV per atom. For the size of the total moment, the calculation gives 0.00 μB per atom. As for the total energy: -3.071 eV per atom.